This record from OQMD via LeMat-Bulk describes an optimized crystal structure of Lu8Pb2C3N3. The functional is GGA-PBE.

Values from the calculation:
For the raw total energy, the calculation gives -6.954 eV per atom. As for the space-group type: No. 164.

abc: 3.4462 3.4462 26.9125
angles: 90.00 90.00 120.00
Closest atoms and distances in Å follow each position.
Positions (direct):
Lu  0.0000  0.0000  0.1469  3 N 2.31
Lu  0.0000  0.0000  0.3460  3 C 2.31
Lu  0.0000  0.0000  0.6540  3 C 2.31
Lu  0.0000  0.0000  0.8531  3 N 2.31
Lu  0.3333  0.6667  0.5540  6 C 2.46-2.50
Lu  0.3333  0.6667  0.9513  6 N 2.38-2.47
Lu  0.6667  0.3333  0.0487  6 N 2.38-2.47
Lu  0.6667  0.3333  0.4460  6 C 2.46-2.50
Pb  0.3333  0.6667  0.7558  6 Lu 3.29-3.39, 6 Pb 3.45
Pb  0.6667  0.3333  0.2442  6 Lu 3.29-3.39, 6 Pb 3.45
C  0.0000  0.0000  0.5000  6 Lu 2.46
C  0.3333  0.6667  0.3895  6 Lu 2.31-2.50
C  0.6667  0.3333  0.6105  6 Lu 2.31-2.50
N  0.0000  0.0000  0.0000  6 Lu 2.38
N  0.3333  0.6667  0.1030  6 Lu 2.31-2.47
N  0.6667  0.3333  0.8970  6 Lu 2.31-2.47

---

This record from OQMD via LeMat-Bulk describes an optimized crystal structure of Lu8Si2C3N3. The functional is GGA-PBE.

Values from the calculation:
For the raw total energy, the calculation gives -7.123 eV per atom. As for the space-group type: No. 164.

abc: 3.4066 3.4066 25.5198
angles: 90.00 90.00 120.00
Closest atoms and distances in Å follow each position.
Positions (direct):
Lu  0.0000  0.0000  0.1571  3 N 2.33
Lu  0.0000  0.0000  0.3349  3 C 2.33
Lu  0.0000  0.0000  0.6651  3 C 2.33
Lu  0.0000  0.0000  0.8429  3 N 2.33
Lu  0.3333  0.6667  0.5576  6 C 2.46-2.47
Lu  0.3333  0.6667  0.9477  6 N 2.38-2.43
Lu  0.6667  0.3333  0.0523  6 N 2.38-2.43
Lu  0.6667  0.3333  0.4424  6 C 2.46-2.47
Si  0.3333  0.6667  0.7565  6 Lu 2.95-3.05
Si  0.6667  0.3333  0.2435  6 Lu 2.95-3.05
C  0.0000  0.0000  0.5000  6 Lu 2.46
C  0.3333  0.6667  0.3838  6 Lu 2.33-2.47
C  0.6667  0.3333  0.6162  6 Lu 2.33-2.47
N  0.0000  0.0000  0.0000  6 Lu 2.38
N  0.3333  0.6667  0.1083  6 Lu 2.33-2.43
N  0.6667  0.3333  0.8917  6 Lu 2.33-2.43

---

This record from OQMD via LeMat-Bulk describes an optimized crystal structure of Lu3SnCN. The functional is GGA-PBE.

Values from the calculation:
For the raw total energy, the calculation gives -6.821 eV per atom. As for the space-group type: No. 164.

abc: 3.4479 3.4479 21.0270
angles: 90.00 90.00 120.00
Closest atoms and distances in Å follow each position.
Positions (direct):
Lu  0.0000  0.0000  0.0000  6 N 2.43
Lu  0.0000  0.0000  0.5000  6 C 2.50
Lu  0.3333  0.6667  0.1244  3 N 2.33
Lu  0.3333  0.6667  0.3710  3 C 2.32
Lu  0.6667  0.3333  0.6290  3 C 2.32
Lu  0.6667  0.3333  0.8756  3 N 2.33
Sn  0.0000  0.0000  0.2446  6 Lu 3.22-3.32, 6 Sn 3.45
Sn  0.0000  0.0000  0.7554  6 Lu 3.22-3.32, 6 Sn 3.45
C  0.3333  0.6667  0.5720  6 Lu 2.32-2.50
C  0.6667  0.3333  0.4280  6 Lu 2.32-2.50
N  0.3333  0.6667  0.9334  6 Lu 2.33-2.43
N  0.6667  0.3333  0.0666  6 Lu 2.33-2.43

---

This record from OQMD via LeMat-Bulk describes an optimized crystal structure of Lu3ZnCN. The functional is GGA-PBE.

Values from the calculation:
For the raw total energy, the calculation gives -6.158 eV per atom. As for the space-group type: No. 164.

abc: 3.4148 3.4148 20.6532
angles: 90.00 90.00 120.00
Closest atoms and distances in Å follow each position.
Positions (direct):
Lu  0.0000  0.0000  0.0000  6 N 2.41
Lu  0.0000  0.0000  0.5000  6 C 2.50
Lu  0.3333  0.6667  0.1288  3 N 2.35
Lu  0.3333  0.6667  0.3690  3 C 2.29
Lu  0.6667  0.3333  0.6310  3 C 2.29
Lu  0.6667  0.3333  0.8712  3 N 2.35
Zn  0.0000  0.0000  0.2411  6 Lu 3.04-3.30
Zn  0.0000  0.0000  0.7589  6 Lu 3.04-3.30
C  0.3333  0.6667  0.5741  6 Lu 2.29-2.50
C  0.6667  0.3333  0.4259  6 Lu 2.29-2.50
N  0.3333  0.6667  0.9327  6 Lu 2.35-2.41
N  0.6667  0.3333  0.0673  6 Lu 2.35-2.41

---

Total magnetization per entry: 0.02 0.00 0.39 0.42 μB per cell